Pm2SmIn2 | PBE | relaxed

a b c (Å): 4.5089 4.9984 13.1687
angles (deg): 90.00 99.87 90.00
Last column: nearest neighbours and their distance in Å.
Positions (direct):
Pm (0.0491, 0.2500, 0.0983)  8 In 3.36-3.44, 2 Sm 3.50, 2 Pm 3.57
Pm (0.2394, 0.2500, 0.4784)  2 In 3.24-3.25, 4 Pm 3.41, 2 Sm 3.52
Pm (0.7606, 0.7500, 0.5216)  2 In 3.24-3.25, 4 Pm 3.41, 2 Sm 3.52
Pm (0.9509, 0.7500, 0.9017)  8 In 3.36-3.44, 2 Sm 3.50, 2 Pm 3.57
Sm (0.1438, 0.7500, 0.2870)  6 In 3.37-3.38, 4 Pm 3.50-3.52
Sm (0.8562, 0.2500, 0.7130)  6 In 3.37-3.38, 4 Pm 3.50-3.52
In (0.3505, 0.7500, 0.7015)  4 Pm 3.24-3.44, 4 Sm 3.37
In (0.4533, 0.2500, 0.9067)  6 Pm 3.36-3.37, 2 Sm 3.38, 4 In 3.48-3.65
In (0.5467, 0.7500, 0.0933)  6 Pm 3.36-3.37, 2 Sm 3.38, 4 In 3.48-3.65
In (0.6495, 0.2500, 0.2985)  4 Pm 3.24-3.44, 4 Sm 3.37

Computed properties:
As for the space-group type: P2_1/m, No. 11. Its formation energy from the elements is -0.3892 eV/atom. Its polymorph energy (0 for the lowest one) is 0.0 kJ/mol of atoms. Its crystal system is monoclinic.